1.
Compound: TlTeRh2
Source: the Alexandria database
Functional: GGA-PBE
Structure: relaxed

As for the formation energy without anion corrections: 0.0906 eV/atom.

It has space group R3m (No. 160, hexagonal axes), with a = 4.0987 Å, b = 4.0987 Å, c = 19.2778 Å, α = 90.00°, β = 90.00° and γ = 120.00°. Symmetry generates all atoms from Tl at (0.0000, 0.0000, 0.0000), Te at (0.0000, 0.0000, 0.1945), Rh at (0.0000, 0.0000, 0.4666) and Rh at (0.0000, 0.0000, 0.7504).

=====

2.
Compound: CaTbHg4
Source: the Alexandria database
Functional: GGA-PBE
Structure: relaxed

The value obtained for the formation energy is -0.23 eV/atom.

It has space group F-43m (No. 216), with a = 8.476 Å, b = 8.476 Å, c = 8.476 Å, α = 90.00°, β = 90.00° and γ = 90.00°. Symmetry generates all atoms from Ca at (0.000, 0.000, 0.000), Tb at (0.250, 0.250, 0.750) and Hg at (0.125, 0.125, 0.375).

=====

3.
Compound: ScTeSe4
Source: the Alexandria database
Functional: GGA-PBE
Structure: relaxed

As for the formation energy without anion corrections: 0.1602 eV/atom.

It has space group F-43m (No. 216), with a = 8.134 Å, b = 8.134 Å, c = 8.134 Å, α = 90.00°, β = 90.00° and γ = 90.00°. Symmetry generates all atoms from Sc at (0.000, 0.000, 0.000), Te at (0.250, 0.250, 0.250) and Se at (0.127, 0.127, 0.627).

=====

Total moment? In order: 0.000; 0.000; 0.000 μB/atom.